# 1
AlCuOsW: relaxed, PBE-GGA.

Lattice parameters (Å, degrees): 4.327 4.327 4.327 60.00 60.00 60.00
Atoms (fractional coordinates):
Al  0.500  0.500  0.500
W  0.000  0.000  0.000
Os  0.250  0.250  0.250
Cu  0.750  0.750  0.750

As for the space group: F-43m. The formation energy is -75 meV/atom.

***

# 2
Zr2ScTiCo2: relaxed, PBE-GGA.

Lattice parameters (Å, degrees): 5.897 5.927 7.441 113.47 113.34 90.00
Atoms (fractional coordinates):
Ti  0.750  0.500  0.000
Ti  0.250  0.500  0.000
Co  0.383  0.610  0.766
Co  0.617  0.390  0.234
Co  0.883  0.156  0.766
Co  0.117  0.844  0.234
Zr  0.689  0.915  0.378
Zr  0.311  0.085  0.622
Zr  0.811  0.538  0.622
Zr  0.189  0.462  0.378
Sc  0.250  0.000  0.000
Sc  0.750  0.000  0.000

As for the space group: Ibam. The formation energy is -202 meV/atom.

***

# 3
Cd2InSi: relaxed, PBE-GGA.

Lattice parameters (Å, degrees): 10.918 10.918 10.918 16.32 16.32 16.32
Atoms (fractional coordinates):
Cd  0.250  0.250  0.250
Cd  0.004  0.004  0.004
In  0.497  0.497  0.497
Si  0.748  0.748  0.748

The energy above the lowest structure with this stoichiometry is 49 meV/atom. As for the space group: R3m. Its energy relative to the elements, uncorrected is 0.30 eV per atom.

***

# 4
ZnHAu2: relaxed, PBE-GGA.

Lattice parameters (Å, degrees): 6.393 6.393 5.282 52.76 52.76 90.00
Atoms (fractional coordinates):
Au  0.875  0.789  0.750
Au  0.539  0.125  0.250
Au  0.211  0.625  0.250
Au  0.375  0.461  0.750
Zn  0.750  0.250  0.500
Zn  0.000  0.000  0.000
H  0.250  0.750  0.500
H  0.500  0.500  0.000

The energy above the lowest structure with this stoichiometry is 0 meV/atom. As for the space group: I-42d.

***

| no. | total magnetic moment (μB per atom) | Fermi-level density of states (states/eV per cell) |
| --- | --- | --- |
| 1 | 0.0000 | 0.75 |
| 2 | 0.0000 | 13.95 |
| 3 | 0.0000 | 1.93 |
| 4 | 0.0000 | 2.42 |